1.
{"formula": "LaSmAlHg", "functional": "PBE-GGA", "state": "relaxed", "cell": [[5.4043, 0.0000, 0.0000], [2.7022, 4.6803, 0.0000], [2.7022, 1.5601, 4.4126]], "species": ["Al", "Hg", "Sm", "La"], "fractional_positions": [[0.2500, 0.2500, 0.2500], [0.7500, 0.7500, 0.7500], [0.5000, 0.5000, 0.5000], [0.0000, 0.0000, 0.0000]], "de_polymorph_kj_per_mol_fu": 17}

=====

2.
{"formula": "Li2LaTc", "functional": "PBE-GGA", "state": "relaxed", "cell": [[-3.7983, 0.5016, 2.7273], [-2.7795, -1.0043, -3.6582], [3.4246, -2.9721, 1.2473]], "species": ["La", "Li", "Li", "Tc"], "fractional_positions": [[0.7500, 0.2500, 0.5000], [0.0000, 0.0000, 0.0000], [0.2500, 0.7500, 0.5000], [0.5000, 0.5000, 0.0000]], "de_polymorph_kj_per_mol_fu": 55}

=====

3.
{"formula": "EuHoCd2", "functional": "PBE-GGA", "state": "relaxed", "cell": [[5.4007, 0.0000, 0.0000], [2.7004, 4.6771, 0.0000], [2.7004, 1.5590, 4.4097]], "species": ["Eu", "Ho", "Cd", "Cd"], "fractional_positions": [[0.0000, 0.0000, 0.0000], [0.5000, 0.5000, 0.5000], [0.2500, 0.2500, 0.2500], [0.7500, 0.7500, 0.7500]], "de_polymorph_kj_per_mol_fu": 9}

=====

4.
{"formula": "Pm2YEr5", "functional": "PBE-GGA", "state": "relaxed", "cell": [[5.0152, 0.0000, 0.0000], [0.0000, 7.1054, 0.0000], [0.0000, 0.0000, 14.2086]], "species": ["Pm", "Pm", "Pm", "Pm", "Y", "Y", "Er", "Er", "Er", "Er", "Er", "Er", "Er", "Er", "Er", "Er"], "fractional_positions": [[0.5000, 0.2509, 0.6255], [0.5000, 0.7491, 0.3745], [0.5000, 0.2491, 0.1255], [0.5000, 0.7509, 0.8745], [0.0000, 0.0000, 0.5000], [0.0000, 0.5000, 0.0000], [0.0000, 0.0000, 0.0000], [0.0000, 0.5000, 0.5000], [0.0000, 0.5001, 0.7494], [0.0000, 0.4999, 0.2506], [0.0000, 0.9999, 0.2494], [0.0000, 0.0001, 0.7506], [0.5000, 0.2496, 0.8745], [0.5000, 0.7504, 0.1255], [0.5000, 0.2504, 0.3745], [0.5000, 0.7496, 0.6255]], "de_polymorph_kj_per_mol_fu": 0}

=====

5.
{"formula": "TaNi2Br", "functional": "PBE-GGA", "state": "relaxed", "cell": [[5.1697, -0.0113, 0.0076], [2.2989, 4.6304, -0.0076], [-3.1341, -3.2800, 2.4789]], "species": ["Br", "Ni", "Ni", "Ta"], "fractional_positions": [[0.2500, 0.7500, 0.5000], [0.0054, 0.0054, 0.0000], [0.4946, 0.4946, 0.0000], [0.7500, 0.2500, 0.5000]], "de_polymorph_kj_per_mol_fu": 142, "raw_formation_energy_ev_per_atom": 0.481}

=====

6.
{"formula": "ZrTcW2", "functional": "PBE-GGA", "state": "relaxed", "cell": [[-0.1164, -1.7380, 2.2250], [0.1695, -1.4756, -2.4039], [9.0426, 0.1179, 0.5652]], "species": ["Tc", "W", "W", "Zr"], "fractional_positions": [[0.5000, 0.5000, 0.7613], [0.0000, 0.0000, 0.9952], [0.5000, 0.5000, 0.2366], [0.0000, 0.0000, 0.5069]], "de_polymorph_kj_per_mol_fu": 49}

=====

7.
{"formula": "Ba2Hg2Pb3", "functional": "PBE-GGA", "state": "relaxed", "cell": [[-0.2855, -2.5286, 4.4423], [6.0397, 2.6178, -1.0718], [-4.8228, 5.8045, 2.9941]], "species": ["Ba", "Ba", "Hg", "Hg", "Pb", "Pb", "Pb"], "fractional_positions": [[0.8567, 0.7135, 0.2190], [0.1433, 0.2865, 0.7810], [0.8396, 0.6792, 0.7643], [0.1604, 0.3208, 0.2357], [0.5000, 0.0000, 0.0000], [0.6075, 0.2149, 0.4353], [0.3925, 0.7851, 0.5647]]}

=====

8.
{"formula": "Dy3Al8Pt3", "functional": "PBE-GGA", "state": "relaxed", "cell": [[-1.4972, 3.6364, 1.9229], [-7.2938, 1.3944, -3.3333], [-6.0001, -2.4754, 4.9923]], "species": ["Dy", "Dy", "Dy", "Al", "Al", "Al", "Al", "Al", "Al", "Al", "Al", "Pt", "Pt", "Pt"], "fractional_positions": [[0.2864, 0.7198, 0.7074], [0.7136, 0.2802, 0.2926], [0.0000, 0.0000, 0.0000], [0.1354, 0.1552, 0.5740], [0.8646, 0.8448, 0.4260], [0.8487, 0.4356, 0.8670], [0.1513, 0.5644, 0.1330], [0.5047, 0.6629, 0.3278], [0.4953, 0.3371, 0.6722], [0.3481, 0.0203, 0.2836], [0.6519, 0.9797, 0.7164], [0.0000, 0.5000, 0.5000], [0.6470, 0.7111, 0.9948], [0.3530, 0.2889, 0.0052]]}

=====

9.
{"formula": "Ac6PdRu", "functional": "PBE-GGA", "state": "relaxed", "cell": [[-5.3853, -3.1642, -3.9110], [2.4840, -6.5363, -2.4955], [-0.8765, -6.0445, 3.9155]], "species": ["Ac", "Ac", "Ac", "Ac", "Ac", "Ac", "Pd", "Ru"], "fractional_positions": [[0.7447, 0.4366, 0.6685], [0.7447, 0.1052, 0.3315], [0.2553, 0.8948, 0.6685], [0.2553, 0.5634, 0.3315], [0.7385, 0.7544, 0.0000], [0.2615, 0.2456, 0.0000], [0.0000, 0.0000, 0.0000], [0.5000, 0.5000, 0.0000]], "de_polymorph_kj_per_mol_fu": 10}

=====

10.
{"formula": "In2TeHPt", "functional": "PBE-GGA", "state": "relaxed", "cell": [[-5.1814, -0.2121, -1.6516], [-1.6167, -0.6518, 5.1557], [-0.2658, 3.5993, 0.3717]], "species": ["H", "Te", "Pt", "In", "In"], "fractional_positions": [[0.0000, 0.0000, 0.5000], [0.5000, 0.5000, 0.5000], [0.0000, 0.0000, 0.0000], [0.0000, 0.5000, 0.0000], [0.5000, 0.0000, 0.0000]]}

=====

11.
{"formula": "NdTh4Si4", "functional": "PBE-GGA", "state": "relaxed", "cell": [[-0.9182, 5.1102, -2.9834], [1.3322, -4.4017, -7.9496], [-8.9771, -1.8826, -0.4619]], "species": ["Nd", "Nd", "Th", "Th", "Th", "Th", "Th", "Th", "Th", "Th", "Si", "Si", "Si", "Si", "Si", "Si", "Si", "Si"], "fractional_positions": [[0.0000, 0.0000, 0.0000], [0.5000, 0.5000, 0.5000], [0.3713, 0.3258, 0.9048], [0.8713, 0.5952, 0.8258], [0.3713, 0.6742, 0.0952], [0.1287, 0.1742, 0.5952], [0.6287, 0.9048, 0.6742], [0.1287, 0.8258, 0.4048], [0.8713, 0.4048, 0.1742], [0.6287, 0.0952, 0.3258], [0.6301, 0.7734, 0.3628], [0.6301, 0.2266, 0.6372], [0.1301, 0.8628, 0.7266], [0.8699, 0.2734, 0.8628], [0.8699, 0.7266, 0.1372], [0.3699, 0.3628, 0.2266], [0.3699, 0.6372, 0.7734], [0.1301, 0.1372, 0.2734]], "raw_formation_energy_ev_per_atom": -0.374}

=====

12.
{"formula": "CePaGe", "functional": "PBE-GGA", "state": "relaxed", "cell": [[5.3822, 0.0000, 0.0000], [0.0000, 3.0205, 0.0000], [0.0000, 1.5103, 8.7678]], "species": ["Ge", "Ge", "Ce", "Ce", "Pa", "Pa"], "fractional_positions": [[0.7500, 0.1572, 0.6856], [0.2500, 0.8428, 0.3144], [0.5000, 0.0000, 0.0000], [0.0000, 0.0000, 0.0000], [0.7500, 0.3252, 0.3495], [0.2500, 0.6748, 0.6505]], "de_polymorph_kj_per_mol_fu": 130}

=====

13.
{"formula": "BaGd2Au", "functional": "PBE-GGA", "state": "relaxed", "cell": [[-0.3912, 3.0717, -2.1111], [-1.0843, -2.1246, -2.8906], [-9.2114, 0.7983, 2.8685]], "species": ["Gd", "Gd", "Au", "Ba"], "fractional_positions": [[0.0000, 0.0000, 0.8295], [0.0000, 0.0000, 0.1705], [0.5000, 0.5000, 0.0000], [0.5000, 0.5000, 0.5000]]}

=====

14.
{"formula": "Pu2Ga4GeAu3", "functional": "PBE-GGA", "state": "relaxed", "cell": [[-1.1169, 4.1487, -0.7490], [-2.0786, 0.1322, 3.8318], [9.1038, 3.3217, 4.8238]], "species": ["Pu", "Pu", "Ga", "Ga", "Ga", "Ga", "Ge", "Au", "Au", "Au"], "fractional_positions": [[0.5000, 0.0000, 0.2548], [0.0000, 0.5000, 0.7452], [0.5000, 0.5000, 0.0000], [0.0000, 0.0000, 0.0000], [0.5000, 0.0000, 0.6372], [0.0000, 0.5000, 0.3628], [0.5000, 0.5000, 0.5000], [0.0000, 0.0000, 0.5000], [0.5000, 0.0000, 0.8669], [0.0000, 0.5000, 0.1331]]}

=====

15.
{"formula": "LiZr2OF", "functional": "PBE-GGA", "state": "relaxed", "cell": [[4.6243, 0.0000, 0.0000], [0.0000, 3.2530, 0.0000], [0.0000, 0.0000, 4.6243]], "species": ["Li", "O", "Zr", "Zr", "F"], "fractional_positions": [[0.0000, 0.5000, 0.0000], [0.5000, 0.5000, 0.5000], [0.0000, 0.0000, 0.5000], [0.5000, 0.0000, 0.0000], [0.0000, 0.0000, 0.0000]], "raw_formation_energy_ev_per_atom": -0.680}

=====

16.
{"formula": "CoSbI2Cl", "functional": "PBE-GGA", "state": "relaxed", "cell": [[6.2111, 0.0000, 0.0000], [0.0000, 6.2111, 0.0000], [0.0000, 0.0000, 5.0676]], "species": ["I", "I", "Sb", "Co", "Cl"], "fractional_positions": [[0.0000, 0.5000, 0.0000], [0.5000, 0.0000, 0.0000], [0.0000, 0.0000, 0.5000], [0.5000, 0.5000, 0.5000], [0.0000, 0.0000, 0.0000]], "de_polymorph_kj_per_mol_fu": 461, "raw_formation_energy_ev_per_atom": 1.202}

=====

17.
{"formula": "NaCu2Sb2", "functional": "PBE-GGA", "state": "relaxed", "cell": [[-1.0866, 3.0024, -3.0697], [-2.5167, -3.0109, -2.0540], [-6.2828, 1.5934, 0.5869]], "species": ["Sb", "Sb", "Cu", "Cu", "Na"], "fractional_positions": [[0.3734, 0.3734, 0.2533], [0.6266, 0.6266, 0.7467], [0.7500, 0.2500, 0.5000], [0.2500, 0.7500, 0.5000], [0.0000, 0.0000, 0.0000]], "de_polymorph_kj_per_mol_fu": 5, "raw_formation_energy_ev_per_atom": -0.103}

=====

18.
{"formula": "Sm3UTl3Se8", "functional": "PBE-GGA", "state": "relaxed", "cell": [[-4.7421, -1.2809, -6.9007], [7.7778, -3.3227, 0.4709], [-6.5696, -3.8268, 5.2247]], "species": ["Sm", "Sm", "Sm", "U", "Tl", "Tl", "Tl", "Se", "Se", "Se", "Se", "Se", "Se", "Se", "Se"], "fractional_positions": [[0.5000, 0.0000, 0.5000], [0.5000, 0.5000, 0.5000], [0.0000, 0.5000, 0.5000], [0.0000, 0.0000, 0.5000], [0.0000, 0.0000, 0.0000], [0.0000, 0.5000, 0.0000], [0.5000, 0.5000, 0.0000], [0.2637, 0.5274, 0.2915], [0.7363, 0.4726, 0.7085], [0.7707, 0.5415, 0.2977], [0.2293, 0.4585, 0.7023], [0.7708, 0.0266, 0.2977], [0.2292, 0.9734, 0.7023], [0.2559, 0.0266, 0.2977], [0.7441, 0.9734, 0.7023]], "raw_formation_energy_ev_per_atom": -1.333}

=====

19.
{"formula": "Y2Nb2Cd", "functional": "PBE-GGA", "state": "relaxed", "cell": [[7.6267, 0.0000, 0.0000], [0.0000, 7.6267, 0.0000], [0.0000, 0.0000, 4.2036]], "species": ["Y", "Y", "Y", "Y", "Nb", "Nb", "Nb", "Nb", "Cd", "Cd"], "fractional_positions": [[0.1751, 0.6751, 0.5000], [0.6751, 0.8249, 0.5000], [0.8249, 0.3249, 0.5000], [0.3249, 0.1751, 0.5000], [0.3796, 0.8796, 0.0000], [0.8796, 0.6204, 0.0000], [0.6204, 0.1204, 0.0000], [0.1204, 0.3796, 0.0000], [0.0000, 0.0000, 0.0000], [0.5000, 0.5000, 0.0000]], "de_polymorph_kj_per_mol_fu": 0}

=====

20.
{"formula": "AgPb2I", "functional": "PBE-GGA", "state": "relaxed", "cell": [[-1.0561, 5.8030, 3.4809], [-6.7382, -0.5773, -1.0819], [-4.5483, -1.1396, 7.2576]], "species": ["Pb", "Pb", "Pb", "Pb", "I", "I", "Ag", "Ag"], "fractional_positions": [[0.5585, 0.1250, 0.2500], [0.1915, 0.6250, 0.2500], [0.3750, 0.4415, 0.7500], [0.8750, 0.8085, 0.7500], [0.0000, 0.0000, 0.0000], [0.7500, 0.2500, 0.5000], [0.5000, 0.5000, 0.0000], [0.2500, 0.7500, 0.5000]], "de_polymorph_kj_per_mol_fu": 59, "raw_formation_energy_ev_per_atom": 0.205}

=====

| no. | energy (eV/atom) |
| --- | --- |
| 1 | -3.812 |
| 2 | -4.405 |
| 3 | -4.474 |
| 4 | -4.826 |
| 5 | -5.791 |
| 6 | -11.160 |
| 7 | -2.641 |
| 8 | -5.279 |
| 9 | -5.132 |
| 10 | -3.745 |
| 11 | -6.612 |
| 12 | -6.739 |
| 13 | -8.630 |
| 14 | -5.886 |
| 15 | -5.848 |
| 16 | -2.033 |
| 17 | -3.654 |
| 18 | -5.361 |
| 19 | -6.555 |
| 20 | -2.749 |